No. 1
## CsScW2 (GGA-PBE)

Data for a geometry-optimized CsScW2 structure.

```
CsScW2
1.0
-2.3184 -0.1634 3.5717
-0.0846 -4.2531 -0.2494
7.5983 -2.7169 7.3498
W Cs Sc
4 2 2
direct
0.3750 0.7990 0.7500
0.5490 0.6250 0.2500
0.8750 0.4510 0.7500
0.2010 0.1250 0.2500
0.7500 0.2500 0.5000
0.0000 0.0000 0.0000
0.2500 0.7500 0.5000
0.5000 0.5000 0.0000
```

Results
Energy of formation from the pure elements (eV per atom): 1.858
ΔE to the lowest computed polymorph (kJ/mol of atoms): 0.0
Crystal system: tetragonal

=====

No. 2
## CsY3Sc (GGA-PBE)

Data for a geometry-optimized CsY3Sc structure.

```
CsY3Sc
1.0
5.9075 0.0000 0.0000
0.0000 5.9075 0.0000
0.0000 0.0000 5.9075
Cs Sc Y
1 1 3
direct
0.5000 0.5000 0.5000
0.0000 0.0000 0.0000
0.0000 0.0000 0.5000
0.0000 0.5000 0.0000
0.5000 0.0000 0.0000
```

Results
Energy of formation from the pure elements (eV per atom): 0.716
ΔE to the lowest computed polymorph (kJ/mol of atoms): 0.0
Crystal system: cubic

=====

No. 3
## CsY3Sc (GGA-PBE)

Data for a geometry-optimized CsY3Sc structure.

```
CsY3Sc
1.0
-4.1373 2.9976 2.3205
1.3698 -2.0207 5.0525
3.5347 4.2917 0.7582
Y Cs Sc
3 1 1
direct
0.5000 0.0000 0.0000
0.0000 0.5000 0.0000
0.0000 0.0000 0.5000
0.0000 0.0000 0.0000
0.5000 0.5000 0.5000
```

Results
Energy of formation from the pure elements (eV per atom): 1.197
ΔE to the lowest computed polymorph (kJ/mol of atoms): 46.5
Crystal system: cubic

=====

No. 4
## CsYSc3 (GGA-PBE)

Data for a geometry-optimized CsYSc3 structure.

```
CsYSc3
1.0
-1.1541 1.7503 -4.9088
-0.5450 -5.0406 -1.6693
-5.1829 0.1403 1.2685
Cs Sc Y
1 3 1
direct
0.0000 0.0000 0.0000
0.0000 0.5000 0.0000
0.0000 0.0000 0.5000
0.5000 0.0000 0.0000
0.5000 0.5000 0.5000
```

Results
Energy of formation from the pure elements (eV per atom): 1.118
ΔE to the lowest computed polymorph (kJ/mol of atoms): 13.1
Crystal system: cubic

=====

No. 5
## CsYSc3 (GGA-PBE)

Data for a geometry-optimized CsYSc3 structure.

```
CsYSc3
1.0
5.7746 0.0000 0.0000
0.0000 5.7746 0.0000
0.0000 0.0000 5.7746
Sc Cs Y
3 1 1
direct
0.5000 0.0000 0.0000
0.0000 0.5000 0.0000
0.0000 0.0000 0.5000
0.5000 0.5000 0.5000
0.0000 0.0000 0.0000
```

Results
Energy of formation from the pure elements (eV per atom): 0.983
ΔE to the lowest computed polymorph (kJ/mol of atoms): 0.0
Crystal system: cubic

=====

No. 6
## Cs2YSc (GGA-PBE)

Data for a geometry-optimized Cs2YSc structure.

```
Cs2YSc
1.0
0.0000 4.6224 4.6224
4.6224 0.0000 4.6224
4.6224 4.6224 0.0000
Y Sc Cs
1 1 2
direct
0.5000 0.5000 0.5000
0.0000 0.0000 0.0000
0.7500 0.7500 0.7500
0.2500 0.2500 0.2500
```

Results
Energy of formation from the pure elements (eV per atom): 1.087
Crystal system: cubic

=====

No. 7
## Cs3YSc (GGA-PBE)

Data for a geometry-optimized Cs3YSc structure.

```
Cs3YSc
1.0
-0.0614 1.0831 -6.9853
-7.0667 -0.1804 0.0342
-0.1730 6.9833 1.0843
Y Sc Cs
1 1 3
direct
0.0000 0.0000 0.0000
0.5000 0.5000 0.5000
0.0000 0.0000 0.5000
0.0000 0.5000 0.0000
0.5000 0.0000 0.0000
```

Results
Energy of formation from the pure elements (eV per atom): 1.295
Crystal system: cubic

=====

No. 8
## CsY2ScZn (GGA-PBE)

Data for a geometry-optimized CsY2ScZn structure.

```
CsY2ScZn
1.0
-1.5183 4.1146 3.5516
-4.7865 -2.0406 0.3178
1.6411 -3.1685 4.3723
Sc Zn Y Cs
1 1 2 1
direct
0.0000 0.5000 0.0000
0.5000 0.5000 0.5000
0.0000 0.0000 0.5000
0.5000 0.0000 0.0000
0.0000 0.0000 0.0000
```

Results
Energy of formation from the pure elements (eV per atom): 1.413
Crystal system: tetragonal

=====

No. 9
## CsScZn2 (GGA-PBE)

Data for a geometry-optimized CsScZn2 structure.

```
CsScZn2
1.0
-2.1600 -4.8755 -1.1664
-5.3813 -0.7845 0.4720
-3.0693 -0.6264 -4.4703
Cs Sc Zn
1 1 2
direct
0.5000 0.5000 0.5000
0.0000 0.0000 0.0000
0.2500 0.2500 0.2500
0.7500 0.7500 0.7500
```

Results
Energy of formation from the pure elements (eV per atom): 0.514
ΔE to the lowest computed polymorph (kJ/mol of atoms): 3.9
Crystal system: cubic

=====

No. 10
## CsScZn2 (GGA-PBE)

Data for a geometry-optimized CsScZn2 structure.

```
CsScZn2
1.0
-1.3623 1.9944 5.0513
3.5991 -3.5683 2.3795
8.1276 5.8071 3.0023
Cs Zn Sc
2 4 2
direct
0.0000 0.0000 0.0000
0.7500 0.2500 0.5000
0.3746 0.1250 0.2500
0.3750 0.6254 0.7500
0.3754 0.6250 0.2500
0.8750 0.6246 0.7500
0.5000 0.5000 0.0000
0.2500 0.7500 0.5000
```

Results
Energy of formation from the pure elements (eV per atom): 0.473
ΔE to the lowest computed polymorph (kJ/mol of atoms): 0.0
Crystal system: tetragonal

=====

No. 11
## Cs2ScZn4 (GGA-PBE)

Data for a geometry-optimized Cs2ScZn4 structure.

```
Cs2ScZn4
1.0
5.5628 0.0000 0.0000
0.0000 5.5628 0.0000
2.7814 2.7814 9.4543
Zn Cs Sc
4 2 1
direct
0.1452 0.1452 0.7096
0.5000 0.0000 0.0000
0.0000 0.5000 0.0000
0.8548 0.8548 0.2904
0.6412 0.6412 0.7176
0.3588 0.3588 0.2824
0.0000 0.0000 0.0000
```

Results
Energy of formation from the pure elements (eV per atom): 0.333
Crystal system: tetragonal

=====

No. 12
## CsSc2Zn2 (GGA-PBE)

Data for a geometry-optimized CsSc2Zn2 structure.

```
CsSc2Zn2
1.0
-6.4189 -5.4289 -2.2202
4.4486 -6.6512 3.4023
-1.4508 0.5222 2.9177
Zn Sc Cs
4 4 2
direct
0.3380 0.1620 0.5000
0.6620 0.8380 0.5000
0.1620 0.6620 0.5000
0.8380 0.3380 0.5000
0.1256 0.3744 0.0000
0.3744 0.8744 0.0000
0.6256 0.1256 0.0000
0.8744 0.6256 0.0000
0.5000 0.5000 0.0000
0.0000 0.0000 0.0000
```

Results
Energy of formation from the pure elements (eV per atom): 0.175
Crystal system: tetragonal

=====

No. 13
## CsZrSc2 (GGA-PBE)

Data for a geometry-optimized CsZrSc2 structure.

```
CsZrSc2
1.0
-0.4558 -6.1447 2.4943
6.2004 0.4919 2.3449
-0.1647 0.3853 9.7765
Sc Cs Zr
4 2 2
direct
0.8750 0.6254 0.7500
0.3746 0.6250 0.2500
0.3754 0.1250 0.2500
0.3750 0.6246 0.7500
0.7500 0.2500 0.5000
0.0000 0.0000 0.0000
0.5000 0.5000 0.0000
0.2500 0.7500 0.5000
```

Results
Energy of formation from the pure elements (eV per atom): 1.372
ΔE to the lowest computed polymorph (kJ/mol of atoms): 92.9
Crystal system: tetragonal

=====

No. 14
## CsZr3Sc (GGA-PBE)

Data for a geometry-optimized CsZr3Sc structure.

```
CsZr3Sc
1.0
5.2586 0.0000 0.0000
0.0000 5.2586 0.0000
0.0000 0.0000 5.2586
Zr Sc Cs
3 1 1
direct
0.5000 0.0000 0.0000
0.0000 0.0000 0.5000
0.0000 0.5000 0.0000
0.5000 0.5000 0.5000
0.0000 0.0000 0.0000
```

Results
Energy of formation from the pure elements (eV per atom): 1.722
ΔE to the lowest computed polymorph (kJ/mol of atoms): 36.6
Crystal system: cubic

=====

No. 15
## CsZr3Sc (GGA-PBE)

Data for a geometry-optimized CsZr3Sc structure.

```
CsZr3Sc
1.0
5.4093 0.0000 0.0000
0.0000 5.4093 0.0000
0.0000 0.0000 5.4093
Zr Sc Cs
3 1 1
direct
0.0000 0.0000 0.5000
0.5000 0.0000 0.0000
0.0000 0.5000 0.0000
0.0000 0.0000 0.0000
0.5000 0.5000 0.5000
```

Results
Energy of formation from the pure elements (eV per atom): 1.344
ΔE to the lowest computed polymorph (kJ/mol of atoms): 0.0
Crystal system: cubic

=====

No. 16
## CsZrSc (GGA-PBE)

Data for a geometry-optimized CsZrSc structure.

```
CsZrSc
1.0
14.4975 0.0000 0.0000
0.0000 6.0608 0.0000
0.0000 0.0000 5.2639
Zr Sc Cs
4 4 4
direct
0.9918 0.7500 0.5009
0.0082 0.2500 0.4991
0.4918 0.7500 0.9991
0.5082 0.2500 0.0009
0.5000 0.0000 0.5000
0.0000 0.5000 0.0000
0.0000 0.0000 0.0000
0.5000 0.5000 0.5000
0.2465 0.7500 0.0329
0.2535 0.2500 0.5329
0.7465 0.7500 0.4671
0.7535 0.2500 0.9671
```

Results
Energy of formation from the pure elements (eV per atom): 0.737
ΔE to the lowest computed polymorph (kJ/mol of atoms): 0.0
Crystal system: orthorhombic

=====

No. 17
## CsZrSc (GGA-PBE)

Data for a geometry-optimized CsZrSc structure.

```
CsZrSc
1.0
-0.5307 4.7730 -1.4537
-2.5345 1.6618 6.3816
13.2727 2.8548 4.5279
Cs Zr Sc
4 4 4
direct
0.9964 0.2500 0.8625
0.4964 0.2500 0.6375
0.5036 0.7500 0.3625
0.0036 0.7500 0.1375
0.9865 0.2500 0.2109
0.5135 0.7500 0.7109
0.0135 0.7500 0.7891
0.4865 0.2500 0.2891
0.5125 0.7500 0.9109
0.4875 0.2500 0.0891
0.9875 0.2500 0.4109
0.0125 0.7500 0.5891
```

Results
Energy of formation from the pure elements (eV per atom): 0.908
ΔE to the lowest computed polymorph (kJ/mol of atoms): 16.4
Crystal system: orthorhombic

=====

No. 18
## CsZrSc2 (GGA-PBE)

Data for a geometry-optimized CsZrSc2 structure.

```
CsZrSc2
1.0
-0.2056 10.5632 5.9166
2.4634 9.1854 7.4960
2.8942 10.8367 4.5628
Zr Cs Sc
1 1 2
direct
0.5000 0.5000 0.5000
0.0000 0.0000 0.0000
0.0984 0.0984 0.0984
0.9016 0.9016 0.9016
```

Results
Energy of formation from the pure elements (eV per atom): 0.409
ΔE to the lowest computed polymorph (kJ/mol of atoms): 0.0
Crystal system: trigonal

=====

No. 19
## CsSe (GGA-PBE)

Data for a geometry-optimized CsSe structure.

```
CsSe
1.0
-4.0684 -3.4073 1.2718
2.4001 -1.1763 4.5265
-0.8459 6.1448 2.0454
Cs Se
2 2
direct
0.3546 0.2500 0.7095
0.6454 0.7500 0.2905
0.0360 0.2500 0.0721
0.9640 0.7500 0.9279
```

Results
Uncorrected formation energy (eV/atom): -0.88
Crystal system: orthorhombic

=====

No. 20
## Cs2Se (GGA-PBE)

Data for a geometry-optimized Cs2Se structure.

```
Cs2Se
1.0
-2.4180 4.9573 0.9118
0.2271 -1.5376 8.9618
9.8401 4.6973 0.5566
Se Cs
4 8
direct
0.2500 0.7461 0.3901
0.2500 0.2461 0.1099
0.7500 0.2539 0.6099
0.7500 0.7539 0.8901
0.7500 0.4772 0.3304
0.7500 0.9772 0.1696
0.2500 0.6448 0.0748
0.7500 0.8552 0.5748
0.2500 0.5228 0.6696
0.2500 0.1448 0.4252
0.7500 0.3552 0.9252
0.2500 0.0228 0.8304
```

Results
Uncorrected formation energy (eV/atom): -1.06
ΔE to the lowest computed polymorph (kJ/mol of atoms): 2.0
Crystal system: orthorhombic

=====

No. 21
## Cs5Se (GGA-PBE)

Data for a geometry-optimized Cs5Se structure.

```
Cs5Se
1.0
5.8821 0.0000 0.0000
0.0000 4.7661 0.0000
0.0000 -2.3830 18.5081
Cs Se
5 1
direct
0.0000 0.5734 0.1468
0.5000 0.8148 0.6297
0.0000 0.4266 0.8532
0.5000 0.5000 0.0000
0.5000 0.1852 0.3703
0.0000 0.0000 0.0000
```

Results
Uncorrected formation energy (eV/atom): -0.46
Crystal system: orthorhombic

=====

No. 22
## CsSe (GGA-PBE)

Data for a geometry-optimized CsSe structure.

```
CsSe
1.0
-9.7919 -8.6671 -7.5661
0.2080 -3.9673 4.2754
-5.4661 3.2836 3.3128
Cs Se
6 6
direct
0.0000 0.7475 0.7723
0.1970 0.2510 0.1775
0.3030 0.7490 0.6775
0.5000 0.2525 0.2723
0.8030 0.2510 0.1775
0.6970 0.7490 0.6775
0.3448 0.7516 0.1765
0.0000 0.2476 0.5216
0.1552 0.2484 0.6765
0.8448 0.2484 0.6765
0.5000 0.7524 0.0216
0.6552 0.7516 0.1765
```

Results
Uncorrected formation energy (eV/atom): -0.84
Crystal system: orthorhombic

=====

No. 23
## Cs2Se (GGA-PBE)

Data for a geometry-optimized Cs2Se structure.

```
Cs2Se
1.0
-3.7577 3.7112 1.7289
-4.6001 1.1902 -3.6220
-3.5321 -9.3834 3.5340
Cs Se
4 2
direct
0.3405 0.3529 0.1278
0.9434 0.1471 0.6278
0.5655 0.6471 0.8722
0.4626 0.8529 0.3722
0.2204 0.5000 0.5000
0.9704 0.0000 0.0000
```

Results
Uncorrected formation energy (eV/atom): -1.00
ΔE to the lowest computed polymorph (kJ/mol of atoms): 7.3
Crystal system: orthorhombic

=====

No. 24
## Cs3Se4 (GGA-PBE)

Data for a geometry-optimized Cs3Se4 structure.

```
Cs3Se4
1.0
-2.5394 0.6086 -4.0600
4.5769 0.3004 -2.8176
-1.0553 -11.4071 2.2116
Cs Se
3 4
direct
0.1793 0.1869 0.3737
0.8207 0.8131 0.6263
0.5000 0.0000 0.0000
0.0624 0.5904 0.1807
0.9376 0.4096 0.8193
0.3800 0.3637 0.7275
0.6200 0.6363 0.2725
```

Results
Uncorrected formation energy (eV/atom): -0.83
Crystal system: monoclinic

=====

No. 25
## CsSe4 (GGA-PBE)

Data for a geometry-optimized CsSe4 structure.

```
CsSe4
1.0
-5.2166 0.5739 -1.2441
0.0289 -5.3929 3.1232
1.0697 4.9935 3.5757
Se Cs
4 1
direct
0.7724 0.5729 0.2907
0.2276 0.4271 0.7093
0.7728 0.2907 0.5730
0.2272 0.7093 0.4270
0.0000 0.0000 0.0000
```

Results
Uncorrected formation energy (eV/atom): -0.39
ΔE to the lowest computed polymorph (kJ/mol of atoms): 1.0
Crystal system: monoclinic

=====

No. 26
## Cs2Se (GGA-PBE)

Data for a geometry-optimized Cs2Se structure.

```
Cs2Se
1.0
-3.3525 4.9811 -5.1159
-2.1069 -6.0902 -4.5490
-6.8224 -0.5669 3.9188
Se Cs
2 4
direct
0.5000 0.5000 0.5000
0.0000 0.0000 0.0000
0.7500 0.7500 0.2500
0.7500 0.2500 0.7500
0.2500 0.2500 0.2500
0.2500 0.7500 0.7500
```

Results
Uncorrected formation energy (eV/atom): -0.77
ΔE to the lowest computed polymorph (kJ/mol of atoms): 29.5
Crystal system: cubic

=====

no.,spin magnetization (μB/f.u.)
1,0.00
2,0.00
3,0.00
4,0.00
5,0.00
6,2.59
7,5.03
8,0.00
9,0.00
10,0.00
11,0.00
12,0.00
13,1.10
14,0.00
15,1.66
16,0.00
17,0.00
18,0.00
19,0.00
20,0.00
21,0.00
22,0.34
23,0.00
24,0.00
25,0.00
26,0.00